# PPb2Cl

Crystalline PPb2Cl at its relaxed geometry (PBE, the Alexandria database).

As for the density of states at the Fermi level: 0.031 states/eV/atom. Its raw formation energy is -434 meV/atom. The energy above the most stable polymorph in this dataset is 0.000 eV per atom. Its theoretical density is 6.97 g/cm3. Its magnetization is 0.000 μB per atom.

The structure belongs to space group R-3m (No. 166, hexagonal axes); the cell edges are 4.2648, 4.2648 and 21.8033 Å and the angles 90.00°, 90.00° and 120.00°. The distinct sites, in fractional coordinates, are P at (0.0000, 0.0000, 0.0000), Pb at (0.0000, 0.0000, 0.2621) and Cl at (0.0000, 0.0000, 0.5000).

---

# Pr2InSb

Crystalline Pr2InSb at its relaxed geometry (PBE, the Alexandria database).

As for the density of states at the Fermi level: 0.602 states/eV/atom. Its raw formation energy is -723 meV/atom. The energy above the most stable polymorph in this dataset is 0.087 eV per atom. Its theoretical density is 7.24 g/cm3. Its magnetization is 0.000 μB per atom.

The structure belongs to space group P4/mmm (No. 123); the cell edges are 4.109, 4.109 and 7.047 Å and the angles 90.00°, 90.00° and 90.00°. The distinct sites, in fractional coordinates, are Pr at (0.000, 0.000, 0.241), In at (0.500, 0.500, 0.500) and Sb at (0.500, 0.500, 0.000).

---

# VCrCuBr

Crystalline VCrCuBr at its relaxed geometry (PBE, the Alexandria database).

As for the density of states at the Fermi level: 0.386 states/eV/atom. Its raw formation energy is 319 meV/atom. The energy above the most stable polymorph in this dataset is 0.056 eV per atom. Its theoretical density is 6.40 g/cm3. Its magnetization is 0.000 μB per atom.

The structure belongs to space group P1 (No. 1); the cell edges are 2.962, 2.963 and 8.332 Å and the angles 93.78°, 97.25° and 117.04°. The distinct sites, in fractional coordinates, are V at (0.000, 0.000, 0.000), Cr at (0.373, 0.421, 0.792), Cu at (0.783, 0.456, 0.241) and Br at (0.925, 0.646, 0.568).